(1)
This record from Alexandria via LeMat-Bulk describes a geometry-optimized NbW4O12 structure. The functional is GGA+U.

Its symmetry is I4/mmm (139). As for the crystal system: tetragonal. The density of states at the Fermi level comes out at 3.6 states/eV/cell. Its size of the total moment is 5.0 Bohr magnetons per cell. Its calculated total energy is -132.3 eV per cell.

Lattice parameters (Å, degrees): 6.6609 6.6609 6.6609 107.92 107.92 112.61
With the nearest neighbours (Å) after each atom.
Positions (direct):
Nb: 0.0000 0.0000 0.0000  8 O 2.21
W: 0.0000 0.0000 0.5000  6 O 1.94-2.04
W: 0.0000 0.5000 0.0000  6 O 1.94-2.04
W: 0.5000 0.0000 0.0000  6 O 1.94-2.04
W: 0.5000 0.5000 0.5000  6 O 1.94-2.04
O: 0.0490 0.8221 0.2269  2 W 2.04, 1 Nb 2.21
O: 0.1779 0.4048 0.2269  2 W 2.04, 1 Nb 2.21
O: 0.1779 0.9510 0.7731  2 W 2.04, 1 Nb 2.21
O: 0.3026 0.3026 0.6052  2 W 1.94
O: 0.3026 0.6974 0.0000  2 W 1.94
O: 0.4048 0.1779 0.2269  2 W 2.04, 1 Nb 2.21
O: 0.5952 0.8221 0.7731  2 W 2.04, 1 Nb 2.21
O: 0.6974 0.3026 0.0000  2 W 1.94
O: 0.6974 0.6974 0.3948  2 W 1.94
O: 0.8221 0.0490 0.2269  2 W 2.04, 1 Nb 2.21
O: 0.8221 0.5952 0.7731  2 W 2.04, 1 Nb 2.21
O: 0.9510 0.1779 0.7731  2 W 2.04, 1 Nb 2.21

(2)
This record from Alexandria via LeMat-Bulk describes a geometry-optimized Nb12WO33 structure. The functional is GGA+U.

Its symmetry is P1 (1). As for the crystal system: triclinic. The density of states at the Fermi level comes out at 0.0 states/eV/cell. Its size of the total moment is 0.0 Bohr magnetons per cell. Its calculated total energy is -406.3 eV per cell.

Lattice parameters (Å, degrees): 3.8756 11.5688 15.3212 83.57 82.81 80.38
With the nearest neighbours (Å) after each atom.
Positions (direct):
Nb: 0.0000 0.0000 0.0000  5 O 1.85-2.07
Nb: 0.0151 0.2358 0.6677  5 O 1.84-2.06
Nb: 0.0897 0.4692 0.3322  4 O 1.85-2.04
Nb: 0.1671 0.9071 0.7606  5 O 1.85-2.07
Nb: 0.2157 0.1411 0.4243  4 O 1.81-2.02
Nb: 0.3420 0.8128 0.5195  4 O 1.85-2.04
Nb: 0.6030 0.7523 0.0531  4 O 1.85-2.04
Nb: 0.7081 0.4240 0.1484  4 O 1.81-2.02
Nb: 0.7634 0.6580 0.8120  5 O 1.85-2.07
Nb: 0.8234 0.0958 0.2404  4 O 1.85-2.03
Nb: 0.9135 0.3293 0.9051  5 O 1.84-2.06
Nb: 0.9367 0.5650 0.5726  5 O 1.85-2.06
W: 0.2151 0.7825 0.2863  4 O 1.81
O: 0.0133 0.5252 0.4429  2 Nb 1.85-2.06
O: 0.0330 0.6510 0.2747  1 W 1.81
O: 0.0740 0.8034 0.0532  2 Nb 2.01-2.04
O: 0.0881 0.9434 0.8821  2 Nb 1.93-1.96
O: 0.1122 0.0621 0.7116  2 Nb 1.85-2.03
O: 0.1378 0.1840 0.5362  1 Nb 1.81
O: 0.1609 0.3072 0.3684  2 Nb 1.88-2.00
O: 0.1857 0.4373 0.1830  2 Nb 2.01-2.02
O: 0.2439 0.7067 0.8056  2 Nb 2.01-2.02
O: 0.2605 0.8477 0.6361  2 Nb 1.85-2.07
O: 0.2871 0.9655 0.4647  2 Nb 1.86-2.04
O: 0.3121 0.0918 0.2771  2 Nb 2.00-2.03
O: 0.3789 0.3321 0.9174  2 Nb 1.84-2.05
O: 0.4194 0.6103 0.5574  2 Nb 2.00-2.02
O: 0.4344 0.7541 0.3860  1 W 1.81
O: 0.5050 0.8109 0.1867  1 W 1.81
O: 0.5158 0.9547 0.0153  2 Nb 2.01-2.02
O: 0.5499 0.2330 0.6553  2 Nb 1.84-2.05
O: 0.6112 0.4732 0.2955  2 Nb 2.00-2.04
O: 0.6456 0.5996 0.1079  2 Nb 1.86-2.04
O: 0.6741 0.7175 0.9365  2 Nb 1.85-2.07
O: 0.6880 0.8584 0.7670  2 Nb 2.01-2.02
O: 0.7396 0.1278 0.3896  2 Nb 2.02
O: 0.7668 0.2578 0.2042  2 Nb 1.88-2.00
O: 0.7876 0.3811 0.0364  1 Nb 1.81
O: 0.8170 0.5031 0.8610  2 Nb 1.85-2.04
O: 0.8450 0.6217 0.6905  2 Nb 1.93-1.96
O: 0.8638 0.7616 0.5195  2 Nb 2.01-2.04
O: 0.8905 0.9140 0.2979  1 W 1.81
O: 0.9131 0.0398 0.1298  2 Nb 1.85-2.07
O: 0.9414 0.1575 0.9592  2 Nb 1.85-2.06
O: 0.9637 0.2826 0.7863  2 Nb 1.93
O: 0.9920 0.4075 0.6135  2 Nb 1.85-2.06

(3)
This record from Alexandria via LeMat-Bulk describes a geometry-optimized Nb2WO structure. The functional is GGA+U.

Its symmetry is I-42d (122). As for the crystal system: tetragonal. The density of states at the Fermi level comes out at 7.7 states/eV/cell. Its size of the total moment is 3.3 Bohr magnetons per cell. Its calculated total energy is -64.9 eV per cell.

Lattice parameters (Å, degrees): 5.5765 5.5765 5.5765 110.00 110.00 108.43
With the nearest neighbours (Å) after each atom.
Positions (direct):
Nb: 0.0346 0.1250 0.4096  2 O 2.07
Nb: 0.3750 0.9654 0.0904  2 O 2.07
Nb: 0.7154 0.6250 0.5904  2 O 2.07
Nb: 0.8750 0.2846 0.9096  2 O 2.07
W: 0.2500 0.7500 0.5000  8 Nb 2.82-3.10
W: 0.5000 0.5000 0.0000  8 Nb 2.82-3.10
O: 0.0000 0.0000 0.0000  4 Nb 2.07
O: 0.7500 0.2500 0.5000  4 Nb 2.07

(4)
This record from Alexandria via LeMat-Bulk describes a geometry-optimized Nb3WO structure. The functional is GGA+U.

Its symmetry is Pm-3m (221). As for the crystal system: cubic. The density of states at the Fermi level comes out at 6.1 states/eV/cell. Its size of the total moment is 0.9 Bohr magnetons per cell. Its calculated total energy is -31.8 eV per cell.

Lattice parameters (Å, degrees): 4.9118 4.9118 4.9118 90.00 90.00 90.00
With the nearest neighbours (Å) after each atom.
Positions (direct):
Nb: 0.0000 0.0000 0.5000  2 W 2.46
Nb: 0.0000 0.5000 0.0000  2 W 2.46
Nb: 0.5000 0.0000 0.0000  2 W 2.46
W: 0.0000 0.0000 0.0000  6 Nb 2.46
O: 0.5000 0.5000 0.5000  12 Nb 3.47